Entry from Alexandria via LeMat-Bulk: an optimized crystal structure of Cs2YSbC (PBE).

Cell lengths 7.9235, 5.6589, 7.9235 Å; angles 90.00, 90.00, 90.00 degrees
Each line ends with the local moment (μB).
Positions (direct):
Y 0.0000 0.0000 0.0000  -0.27
Cs 0.5000 0.0000 0.0000  -0.01
Cs 0.0000 0.0000 0.5000  -0.02
Sb 0.0000 0.5000 0.0000  0.00
C 0.5000 0.5000 0.5000  1.11

Output
formation energy (no corrections)	6.73	eV per formula unit

***

Entry from Alexandria via LeMat-Bulk: an optimized crystal structure of ZrBeRe (PBE).

Cell lengths 4.3432, 4.3432, 4.3432 Å; angles 60.00, 60.00, 60.00 degrees
Positions (direct):
Be 0.0000 0.0000 0.0000
Zr 0.7500 0.7500 0.7500
Re 0.5000 0.5000 0.5000

Output
relative energy among the computed polymorphs	1484	meV per atom
energy of formation	1.21	eV/atom

***

Entry from Alexandria via LeMat-Bulk: an optimized crystal structure of KTi2S4 (PBE).

Cell lengths 3.4932, 5.9284, 8.4832 Å; angles 109.12, 101.88, 90.00 degrees
Positions (direct):
S 0.6576 0.9985 0.3152
S 0.1595 0.5003 0.3189
S 0.3424 0.0015 0.6848
S 0.8405 0.4997 0.6811
K 0.5000 0.5000 0.0000
Ti 0.2487 0.2442 0.4974
Ti 0.7513 0.7558 0.5026

Output
relative energy among the computed polymorphs	0	meV per atom
formation energy (no corrections)	-9.83	eV per formula unit

***

Entry from Alexandria via LeMat-Bulk: an optimized crystal structure of URuPt (PBE).

Cell lengths 5.4067, 5.4093, 14.8381 Å; angles 144.85, 150.43, 31.09 degrees
Each line ends with the local moment (μB).
Positions (direct):
Ru 0.6036 0.6905 0.4208  -0.17
Ru 0.6207 0.1155 0.0125  -0.17
Pt 0.7554 0.5486 0.7260  -0.01
Pt 0.4536 0.2716 0.7069  -0.01
U 0.9764 0.6453 0.3584  0.95
U 0.7280 0.6810 0.0750  0.93

Output
relative energy among the computed polymorphs	0	meV per atom
energy of formation	-0.26	eV/atom

***

Entry from Alexandria via LeMat-Bulk: an optimized crystal structure of CaAc2Os (PBE).

Cell lengths 4.3383, 4.3383, 10.0845 Å; angles 77.58, 77.58, 60.00 degrees
Positions (direct):
Ca 0.5017 0.5017 0.4950
Os 0.6658 0.6658 0.0027
Ac 0.0527 0.0527 0.8418
Ac 0.2798 0.2798 0.1606

Output
relative energy among the computed polymorphs	61	meV per atom
energy of formation	0.06	eV/atom

***

Entry from Alexandria via LeMat-Bulk: an optimized crystal structure of GeH3Cl (PBE).

Cell lengths 4.6391, 4.6391, 8.2935 Å; angles 90.00, 90.00, 104.58 degrees
Positions (direct):
H 0.5598 0.2105 0.9562
H 0.6828 0.6828 0.1323
H 0.2105 0.5598 0.9562
H 0.7895 0.4402 0.4562
H 0.3172 0.3172 0.6323
H 0.4402 0.7895 0.4562
Cl 0.8138 0.8138 0.7504
Cl 0.1862 0.1862 0.2504
Ge 0.4443 0.4443 0.0476
Ge 0.5557 0.5557 0.5476

Output
relative energy among the computed polymorphs	0	meV per atom

***

Entry from Alexandria via LeMat-Bulk: an optimized crystal structure of Sr3VI (PBE).

Cell lengths 6.2931, 6.2931, 6.2931 Å; angles 90.00, 90.00, 90.00 degrees
Each line ends with the local moment (μB).
Positions (direct):
I 0.5000 0.5000 0.5000  0.02
Sr 0.0000 0.0000 0.5000  0.13
Sr 0.5000 0.0000 0.0000  0.13
Sr 0.0000 0.5000 0.0000  0.13
V 0.0000 0.0000 0.0000  3.23

Output
relative energy among the computed polymorphs	0	meV per atom
formation energy (no corrections)	1.30	eV per formula unit

***

Entry from Alexandria via LeMat-Bulk: an optimized crystal structure of Sr3LaSe4 (PBE).

Cell lengths 4.3651, 4.3651, 29.4987 Å; angles 90.00, 90.00, 120.00 degrees
Each line ends with the local moment (μB).
Positions (direct):
La 0.3333 0.6667 0.2500  0.28
La 0.6667 0.3333 0.7500  0.28
Sr 0.0000 0.0000 0.0000  0.00
Sr 0.3333 0.6667 0.6247  0.01
Sr 0.6667 0.3333 0.3753  0.01
Sr 0.3333 0.6667 0.8753  0.01
Sr 0.6667 0.3333 0.1247  0.01
Sr 0.0000 0.0000 0.5000  0.00
Se 0.0000 0.0000 0.6874  -0.01
Se 0.6667 0.3333 0.5625  0.00
Se 0.0000 0.0000 0.8126  -0.01
Se 0.6667 0.3333 0.9375  0.00
Se 0.3333 0.6667 0.4375  0.00
Se 0.3333 0.6667 0.0625  0.00
Se 0.0000 0.0000 0.1874  -0.01
Se 0.0000 0.0000 0.3126  -0.01

Output
relative energy among the computed polymorphs	7	meV per atom
formation energy (no corrections)	-16.08	eV per formula unit

***

Entry from Alexandria via LeMat-Bulk: an optimized crystal structure of TlV2Pb (PBE).

Cell lengths 4.8946, 4.8946, 4.8946 Å; angles 60.00, 60.00, 60.00 degrees
Each line ends with the local moment (μB).
Positions (direct):
Pb 0.5000 0.5000 0.5000  -0.04
V 0.7500 0.7500 0.7500  2.51
V 0.2500 0.2500 0.2500  2.51
Tl 0.0000 0.0000 0.0000  0.00

Output
relative energy among the computed polymorphs	0	meV per atom
energy of formation	0.64	eV/atom

***

Entry from Alexandria via LeMat-Bulk: an optimized crystal structure of Mg3Sn (PBE).

Cell lengths 5.0946, 3.1874, 5.7436 Å; angles 90.00, 90.00, 90.00 degrees
Positions (direct):
Mg 0.0000 0.0000 0.0024
Mg 0.0000 0.5000 0.4894
Mg 0.5000 0.5000 0.1684
Sn 0.5000 0.0000 0.6731

Output
energy of formation	-0.07	eV/atom

***

Entry from Alexandria via LeMat-Bulk: an optimized crystal structure of V4Ni6Pt7 (PBE).

Cell lengths 6.8245, 6.8245, 6.8245 Å; angles 109.47, 109.47, 109.47 degrees
Each line ends with the local moment (μB).
Positions (direct):
V 0.0000 0.5000 0.0000  1.73
V 0.0000 0.0000 0.5000  1.73
V 0.5000 0.0000 0.0000  1.73
V 0.5000 0.5000 0.5000  1.73
Pt 0.7500 0.5000 0.2500  -0.10
Pt 0.2500 0.7500 0.5000  -0.10
Pt 0.0000 0.0000 0.0000  0.04
Pt 0.5000 0.2500 0.7500  -0.10
Pt 0.5000 0.7500 0.2500  -0.10
Pt 0.7500 0.2500 0.5000  -0.10
Pt 0.2500 0.5000 0.7500  -0.10
Ni 0.2989 0.2989 0.0000  -0.19
Ni 0.7011 0.0000 0.7011  -0.19
Ni 0.7011 0.7011 0.0000  -0.19
Ni 0.0000 0.2989 0.2989  -0.19
Ni 0.2989 0.0000 0.2989  -0.19
Ni 0.0000 0.7011 0.7011  -0.19

Output
energy of formation	-0.07	eV/atom

***

Entry from Alexandria via LeMat-Bulk: an optimized crystal structure of La2V2Os (PBE).

Cell lengths 3.9619, 3.9619, 7.3509 Å; angles 74.37, 74.37, 90.00 degrees
Positions (direct):
V 0.4313 0.4313 0.1373
V 0.5687 0.5687 0.8627
Os 0.0000 0.0000 0.0000
La 0.7500 0.2500 0.5000
La 0.2500 0.7500 0.5000

Output
relative energy among the computed polymorphs	887	meV per atom
energy of formation	1.16	eV/atom

***

Entry from Alexandria via LeMat-Bulk: an optimized crystal structure of K3TaCr3Se8 (PBE).

Cell lengths 7.5913, 7.6027, 8.8121 Å; angles 115.69, 90.00, 119.91 degrees
Each line ends with the local moment (μB).
Positions (direct):
Cr 0.0000 0.5000 0.5000  3.09
Cr 0.5000 0.0000 0.5000  3.08
Cr 0.5000 0.5000 0.5000  3.10
K 0.5000 0.5000 0.0000  0.00
K 0.0000 0.5000 0.0000  0.00
K 0.0000 0.0000 0.0000  0.00
Se 0.7227 0.9528 0.6830  -0.08
Se 0.2304 0.4607 0.6830  -0.07
Se 0.7696 0.5393 0.3170  -0.07
Se 0.2773 0.0472 0.3170  -0.08
Se 0.2302 0.9528 0.6831  -0.08
Se 0.7258 0.4516 0.6779  -0.09
Se 0.2742 0.5484 0.3221  -0.09
Se 0.7698 0.0472 0.3169  -0.08
Ta 0.0000 0.0000 0.5000  0.59

Output
formation energy (no corrections)	-12.12	eV per formula unit

***

Entry from Alexandria via LeMat-Bulk: an optimized crystal structure of TbCdO (PBE).

Cell lengths 3.9270, 3.9270, 8.0596 Å; angles 90.00, 90.00, 90.00 degrees
Positions (direct):
Cd 0.2500 0.7500 0.9184
Cd 0.7500 0.2500 0.0816
O 0.2500 0.2500 0.5000
O 0.7500 0.7500 0.5000
Tb 0.2500 0.7500 0.3640
Tb 0.7500 0.2500 0.6360

Output
relative energy among the computed polymorphs	0	meV per atom
formation energy (no corrections)	-6.23	eV per formula unit

***

Entry from Alexandria via LeMat-Bulk: an optimized crystal structure of Cu2SiP (PBE).

Cell lengths 4.2765, 4.2765, 4.2765 Å; angles 60.00, 60.00, 60.00 degrees
Positions (direct):
Cu 0.7500 0.7500 0.7500
Cu 0.2500 0.2500 0.2500
P 0.5000 0.5000 0.5000
Si 0.0000 0.0000 0.0000

Output
formation energy (no corrections)	1.40	eV per formula unit

***

Entry from Alexandria via LeMat-Bulk: an optimized crystal structure of SrTe2Pb (PBE).

Cell lengths 5.6498, 5.6482, 4.0914 Å; angles 90.00, 90.00, 90.00 degrees
Positions (direct):
Sr 0.0000 0.5000 0.5000
Pb 0.5000 0.0000 0.5000
Te 0.5000 0.5000 0.0000
Te 0.0000 0.0000 0.0000

Output
formation energy (no corrections)	-3.49	eV per formula unit

***

Entry from Alexandria via LeMat-Bulk: an optimized crystal structure of Pa4Te (PBE).

Cell lengths 5.5793, 5.5793, 5.5793 Å; angles 90.00, 90.00, 90.00 degrees
Each line ends with the local moment (μB).
Positions (direct):
Pa 0.5000 0.0000 0.5000  0.32
Pa 0.5000 0.5000 0.0000  0.32
Pa 0.0000 0.5000 0.5000  0.32
Pa 0.0000 0.0000 0.0000  1.13
Te 0.5000 0.5000 0.5000  0.00

Output
formation energy (no corrections)	5.26	eV per formula unit

***

Entry from Alexandria via LeMat-Bulk: an optimized crystal structure of MgSn2Ge (PBE).

Cell lengths 3.8703, 3.8703, 8.1755 Å; angles 76.31, 76.31, 60.00 degrees
Positions (direct):
Ge 0.6663 0.6663 0.0012
Sn 0.0751 0.0751 0.7748
Sn 0.2584 0.2584 0.2247
Mg 0.5002 0.5002 0.4994

Output
relative energy among the computed polymorphs	49	meV per atom
energy of formation	0.09	eV/atom

***

Entry from Alexandria via LeMat-Bulk: an optimized crystal structure of AlV6S8 (PBE).

Cell lengths 6.3160, 6.3160, 6.3160 Å; angles 92.48, 92.48, 92.48 degrees
Each line ends with the local moment (μB).
Positions (direct):
S 0.2733 0.6173 0.8643  -0.01
S 0.7777 0.7777 0.7777  0.00
S 0.8643 0.2733 0.6173  -0.01
S 0.3827 0.1357 0.7267  -0.01
S 0.7267 0.3827 0.1357  -0.01
S 0.6173 0.8643 0.2733  -0.01
S 0.1357 0.7267 0.3827  -0.01
S 0.2223 0.2223 0.2223  0.00
V 0.4075 0.5501 0.2055  0.29
V 0.7945 0.5925 0.4499  0.29
V 0.5501 0.2055 0.4075  0.29
V 0.2055 0.4075 0.5501  0.29
V 0.5925 0.4499 0.7945  0.29
V 0.4499 0.7945 0.5925  0.29
Al 0.0000 0.0000 0.0000  -0.01

Output
formation energy (no corrections)	-12.48	eV per formula unit

***

Entry from Alexandria via LeMat-Bulk: an optimized crystal structure of Pm3Tm4Sc5 (PBE).

Cell lengths 5.6822, 8.1578, 9.0313 Å; angles 101.13, 71.66, 69.62 degrees
Positions (direct):
Tm 0.8574 0.2277 0.0575
Tm 0.1426 0.7723 0.9425
Tm 0.8236 0.9730 0.3798
Tm 0.1764 0.0270 0.6202
Sc 0.1876 0.4785 0.1463
Sc 0.6394 0.9188 0.8024
Sc 0.3606 0.0812 0.1976
Sc 0.5000 0.5000 0.5000
Sc 0.8124 0.5215 0.8537
Pm 0.4645 0.3013 0.7697
Pm 0.5355 0.6987 0.2303
Pm 0.0000 0.5000 0.5000

Output
energy of formation	0.25	eV/atom